Below is Ag5PbAu6 after structural relaxation, with properties calculated at the PBE level.

a = 7.9577 Å, b = 7.9577 Å, c = 7.9577 Å
α = 149.99°, β = 114.58°, γ = 73.62°
Fractional coordinates of all 12 atoms:
Ag 0.0000 0.0000 0.0000
Ag 0.1662 0.6662 0.5000
Ag 0.3257 0.3257 0.0000
Ag 0.6743 0.6743 0.0000
Ag 0.8338 0.3338 0.5000
Pb 0.5000 0.0000 0.5000
Au 0.0769 0.8309 0.2460
Au 0.2364 0.5000 0.7364
Au 0.4151 0.1691 0.2460
Au 0.5849 0.8309 0.7540
Au 0.7636 0.5000 0.2636
Au 0.9231 0.1691 0.7540

Values from the calculation:
The formation energy comes out at -0.01 eV/atom. The space group is No. 71. The crystal system is orthorhombic.

---

Below is Cs4DyHo3Te8 after structural relaxation, with properties calculated at the PBE level.

a = 10.3446 Å, b = 10.3446 Å, c = 10.3446 Å
α = 52.10°, β = 52.10°, γ = 52.10°
Fractional coordinates of all 16 atoms:
Cs 0.0000 0.0000 0.0000
Cs 0.0000 0.5000 0.5000
Cs 0.5000 0.0000 0.5000
Cs 0.5000 0.5000 0.0000
Dy 0.5000 0.5000 0.5000
Ho 0.0000 0.0000 0.5000
Ho 0.0000 0.5000 0.0000
Ho 0.5000 0.0000 0.0000
Te 0.2289 0.7301 0.7301
Te 0.2296 0.2296 0.2296
Te 0.2699 0.2699 0.7711
Te 0.2699 0.7711 0.2699
Te 0.7301 0.2289 0.7301
Te 0.7301 0.7301 0.2289
Te 0.7704 0.7704 0.7704
Te 0.7711 0.2699 0.2699

Values from the calculation:
The space group is No. 166. The crystal system is trigonal.

---

Below is YAl3Au after structural relaxation, with properties calculated at the PBE level.

a = 4.8903 Å, b = 4.8903 Å, c = 4.8903 Å
α = 90.00°, β = 90.00°, γ = 90.00°
Fractional coordinates of all 5 atoms:
Y 0.0000 0.0000 0.0000
Al 0.0000 0.5000 0.5000
Al 0.5000 0.0000 0.5000
Al 0.5000 0.5000 0.0000
Au 0.5000 0.5000 0.5000

Values from the calculation:
The formation energy comes out at 0.06 eV/atom. The space group is No. 221. The crystal system is cubic.

---

Below is DyY3In3 after structural relaxation, with properties calculated at the PBE level.

a = 9.3267 Å, b = 9.3267 Å, c = 9.3267 Å
α = 90.00°, β = 90.00°, γ = 90.00°
Fractional coordinates of all 28 atoms:
Dy 0.0759 0.4241 0.5759
Dy 0.4241 0.5759 0.0759
Dy 0.5759 0.0759 0.4241
Dy 0.9241 0.9241 0.9241
Y 0.0735 0.5735 0.9265
Y 0.1764 0.1764 0.1764
Y 0.1763 0.8237 0.3237
Y 0.3237 0.1763 0.8237
Y 0.3236 0.8236 0.6764
Y 0.4265 0.4265 0.4265
Y 0.5735 0.9265 0.0735
Y 0.6764 0.3236 0.8236
Y 0.6763 0.6763 0.6763
Y 0.8237 0.3237 0.1763
Y 0.8236 0.6764 0.3236
Y 0.9265 0.0735 0.5735
In 0.9996 0.2483 0.8764
In 0.0004 0.7483 0.6236
In 0.1236 0.4996 0.2517
In 0.2483 0.8764 0.9996
In 0.2517 0.1236 0.4996
In 0.3764 0.5004 0.7517
In 0.4996 0.2517 0.1236
In 0.5004 0.7517 0.3764
In 0.6236 0.0004 0.7483
In 0.7483 0.6236 0.0004
In 0.7517 0.3764 0.5004
In 0.8764 0.9996 0.2483

Values from the calculation:
The formation energy comes out at -0.34 eV/atom. The space group is No. 198. The crystal system is cubic.

---

Below is MgPd2Pt2 after structural relaxation, with properties calculated at the PBE level.

a = 4.9691 Å, b = 4.9691 Å, c = 7.8583 Å
α = 90.00°, β = 90.00°, γ = 90.00°
Fractional coordinates of all 10 atoms:
Mg 0.0000 0.0000 0.0000
Mg 0.5000 0.5000 0.5000
Pd 0.0000 0.5000 0.2500
Pd 0.0000 0.5000 0.7500
Pd 0.5000 0.0000 0.2500
Pd 0.5000 0.0000 0.7500
Pt 0.0000 0.0000 0.3412
Pt 0.0000 0.0000 0.6588
Pt 0.5000 0.5000 0.1588
Pt 0.5000 0.5000 0.8412

Values from the calculation:
The formation energy comes out at 0.08 eV/atom. The space group is No. 139. The crystal system is tetragonal.

---

Below is Rb2ScI6N after structural relaxation, with properties calculated at the PBE level.

a = 8.5068 Å, b = 8.5068 Å, c = 8.5068 Å
α = 126.36°, β = 126.36°, γ = 79.30°
Fractional coordinates of all 10 atoms:
Rb 0.2500 0.7500 0.5000
Rb 0.7500 0.2500 0.5000
Sc 0.0000 0.0000 0.0000
I 0.2194 0.2194 0.0000
I 0.2703 0.2703 0.5406
I 0.2703 0.7297 0.0000
I 0.7297 0.2703 0.0000
I 0.7297 0.7297 0.4594
I 0.7806 0.7806 0.0000
N 0.5000 0.5000 0.0000

Values from the calculation:
The space group is No. 139. The crystal system is tetragonal.

---

Below is Ag3PdRh after structural relaxation, with properties calculated at the PBE level.

a = 4.9687 Å, b = 4.9687 Å, c = 4.9687 Å
α = 90.00°, β = 90.00°, γ = 90.00°
Fractional coordinates of all 5 atoms:
Ag 0.0000 0.0000 0.5000
Ag 0.0000 0.5000 0.0000
Ag 0.5000 0.0000 0.0000
Pd 0.5000 0.5000 0.5000
Rh 0.0000 0.0000 0.0000

Values from the calculation:
The formation energy comes out at 1.21 eV/atom. The space group is No. 221. The crystal system is cubic.

---

Below is KLi2Zn after structural relaxation, with properties calculated at the PBE level.

a = 6.8694 Å, b = 6.8784 Å, c = 4.7750 Å
α = 90.00°, β = 90.00°, γ = 90.00°
Fractional coordinates of all 8 atoms:
K 0.0000 0.0000 0.0000
K 0.5000 0.5000 0.0000
Li 0.2500 0.2500 0.5000
Li 0.2500 0.7500 0.5000
Li 0.7500 0.2500 0.5000
Li 0.7500 0.7500 0.5000
Zn 0.0000 0.5000 0.0000
Zn 0.5000 0.0000 0.0000

Values from the calculation:
The formation energy comes out at 0.21 eV/atom. The space group is No. 65. The crystal system is orthorhombic.

---

In eV/atom, the uncorrected energy values for the records above are, in order, -3.143 -4.310 -4.135 -4.945 -4.731 -3.116 -3.007 -1.337.